CdRe2Ir | PBE-GGA | optimized geometry Values from VASP.

## Properties
The energy of formation from the pure elements comes out at 527 meV per atom. For the magnetic moment, the calculation gives 0.0 Bohr magnetons per cell. Its symmetry is Cmmm (65).

Quantum ESPRESSO input file:
```
&SYSTEM
  ibrav = 0, nat = 4, ntyp = 3
/
ATOMIC_SPECIES
Re 186.21 Re.upf
Ir 192.22 Ir.upf
Cd 112.41 Cd.upf
ATOMIC_POSITIONS angstrom
Re 0.0000 0.0000 0.0000
Re 2.8862 0.5572 2.4714
Ir -1.6640 -0.7460 2.2343
Cd 0.8822 -1.5095 2.2939
CELL_PARAMETERS angstrom
-3.6680 -2.8127 2.0568
5.4323 -0.2062 2.5310
0.3401 1.3207 2.4117
```